# YEr2Te, relaxed, DFT PBE
# Raw formation energy: -0.647 eV/atom
# Raw total energy: -85.27 eV per cell
# V: 463.35 Å³/cell
# Excess energy over the best structure of this formula in the dataset: 0 meV per atom
# Density: 7.9 Mg/m³
data_YEr2Te
_space_group_name_H-M_alt 'C m c m'
_space_group_IT_number 63
_space_group_name_Hall '-C 2c 2'
_cell_length_a 3.9314
_cell_length_b 12.0531
_cell_length_c 9.7782
_cell_angle_alpha 90.00
_cell_angle_beta 90.00
_cell_angle_gamma 90.00
loop_
_atom_site_label
_atom_site_fract_x
_atom_site_fract_y
_atom_site_fract_z
Y1 0.0000 0.0559 0.2500
Er1 0.0000 0.3649 0.0375
Te1 0.0000 0.2354 0.7500

***

# Y2CdNiC, relaxed, DFT PBE
# Raw total energy: -30.39 eV per cell
# V: 96.30 Å³/cell
# Density: 6.2 Mg/m³
# DFT formation energy: -0.309 eV per atom
data_Y2CdNiC
_space_group_name_H-M_alt 'P 4/m m m'
_space_group_IT_number 123
_space_group_name_Hall '-P 4 2'
_cell_length_a 5.0733
_cell_length_b 5.0733
_cell_length_c 3.7417
_cell_angle_alpha 90.00
_cell_angle_beta 90.00
_cell_angle_gamma 90.00
loop_
_atom_site_label
_atom_site_fract_x
_atom_site_fract_y
_atom_site_fract_z
Y1 0.0000 0.5000 0.0000
Cd1 0.0000 0.0000 0.5000
Ni1 0.5000 0.5000 0.5000
C1 0.5000 0.5000 0.0000

***

# BaO4, relaxed, DFT PBE
# Raw formation energy: -1.045 eV/atom
# Raw total energy: -26.98 eV per cell
# V: 79.72 Å³/cell
# Excess energy over the best structure of this formula in the dataset: 45 meV per atom
# Density: 4.2 Mg/m³
data_BaO4
_space_group_name_H-M_alt 'P 1'
_space_group_IT_number 1
_cell_length_a 4.4375
_cell_length_b 4.5338
_cell_length_c 4.7116
_cell_angle_alpha 61.45
_cell_angle_beta 75.08
_cell_angle_gamma 89.56
loop_
_space_group_symop_operation_xyz
'x,y,z'
loop_
_atom_site_label
_atom_site_fract_x
_atom_site_fract_y
_atom_site_fract_z
Ba1 0.0000 0.0000 0.0000
O1 0.2213 0.3660 0.2794
O2 0.3596 0.0817 0.3689
O3 0.6381 0.4537 0.6312
O4 0.7692 0.6473 0.7244

***

# Na2Sn2Au, relaxed, DFT PBE
# Raw total energy: -57.28 eV per cell
# V: 666.49 Å³/cell
# Density: 4.8 Mg/m³
# DFT formation energy: -0.080 eV per atom
data_Na2Sn2Au
_space_group_name_H-M_alt 'C m c m'
_space_group_IT_number 63
_space_group_name_Hall '-C 2c 2'
_cell_length_a 9.8236
_cell_length_b 7.8860
_cell_length_c 8.6034
_cell_angle_alpha 90.00
_cell_angle_beta 90.00
_cell_angle_gamma 90.00
loop_
_atom_site_label
_atom_site_fract_x
_atom_site_fract_y
_atom_site_fract_z
Na1 0.2123 0.0000 0.0000
Sn1 0.0000 0.3036 0.0478
Au1 0.0000 0.4211 0.7500

***

# Rb2Ac2PdO6, relaxed, DFT PBE
# Raw formation energy: -1.893 eV/atom
# Raw total energy: -131.84 eV per cell
# V: 458.46 Å³/cell
# Density: 6.0 Mg/m³
data_Rb2Ac2PdO6
_space_group_name_H-M_alt 'C 1 2/m 1'
_space_group_IT_number 12
_cell_length_a 6.3204
_cell_length_b 10.7516
_cell_length_c 6.9330
_cell_angle_alpha 90.00
_cell_angle_beta 103.32
_cell_angle_gamma 90.00
loop_
_space_group_symop_operation_xyz
'x,y,z'
'-x,-y,-z'
'-x,y,-z'
'x,-y,z'
'x+1/2,y+1/2,z'
'-x+1/2,-y+1/2,-z'
'-x+1/2,y+1/2,-z'
'x+1/2,-y+1/2,z'
loop_
_atom_site_label
_atom_site_fract_x
_atom_site_fract_y
_atom_site_fract_z
Rb1 0.0000 0.1533 0.0000
Ac1 0.0000 0.3370 0.5000
Pd1 0.0000 0.0000 0.5000
O1 0.1856 0.1473 0.6631
O2 0.2327 0.0000 0.3238

***

# TlAs2Cl, relaxed, DFT PBE
# Raw formation energy: 0.387 eV/atom
# Raw total energy: -47.86 eV per cell
# V: 351.82 Å³/cell
# Excess energy over the best structure of this formula in the dataset: 752 meV per atom
# Density: 7.4 Mg/m³
data_TlAs2Cl
_space_group_name_H-M_alt 'F m -3 m'
_space_group_IT_number 225
_space_group_name_Hall '-F 4 2 3'
_cell_length_a 7.0595
_cell_length_b 7.0595
_cell_length_c 7.0595
_cell_angle_alpha 90.00
_cell_angle_beta 90.00
_cell_angle_gamma 90.00
loop_
_atom_site_label
_atom_site_fract_x
_atom_site_fract_y
_atom_site_fract_z
Tl1 0.0000 0.0000 0.0000
As1 0.2500 0.2500 0.2500
Cl1 0.0000 0.0000 0.5000

***

# K2Na6Cd3, relaxed, DFT PBE
# Raw total energy: -12.68 eV per cell
# V: 420.17 Å³/cell
# Density: 2.2 Mg/m³
# DFT formation energy: 0.015 eV per atom
data_K2Na6Cd3
_space_group_name_H-M_alt 'P -6 2 m'
_space_group_IT_number 189
_space_group_name_Hall 'P -6 -2'
_cell_length_a 9.5842
_cell_length_b 9.5842
_cell_length_c 5.2818
_cell_angle_alpha 90.00
_cell_angle_beta 90.00
_cell_angle_gamma 120.00
loop_
_atom_site_label
_atom_site_fract_x
_atom_site_fract_y
_atom_site_fract_z
K1 0.3333 0.6667 0.0000
Na1 0.0000 0.2119 0.0000
Na2 0.0000 0.7303 0.5000
Cd1 0.0000 0.3976 0.5000

***

# ZrTa3Ti, relaxed, DFT PBE
# Raw total energy: -46.38 eV per cell
# V: 105.52 Å³/cell
# Excess energy over the best structure of this formula in the dataset: 0 meV per atom
# Density: 10.7 Mg/m³
# DFT formation energy: 1.125 eV per atom
data_ZrTa3Ti
_space_group_name_H-M_alt 'P m -3 m'
_space_group_IT_number 221
_space_group_name_Hall '-P 4 2 3'
_cell_length_a 4.7255
_cell_length_b 4.7255
_cell_length_c 4.7255
_cell_angle_alpha 90.00
_cell_angle_beta 90.00
_cell_angle_gamma 90.00
loop_
_atom_site_label
_atom_site_fract_x
_atom_site_fract_y
_atom_site_fract_z
Zr1 0.0000 0.0000 0.0000
Ta1 0.0000 0.5000 0.5000
Ti1 0.5000 0.5000 0.5000

***

# Tb3YTm2Se6, relaxed, DFT PBE
# Raw formation energy: -1.736 eV/atom
# Raw total energy: -142.08 eV per cell
# V: 570.64 Å³/cell
# Density: 8.0 Mg/m³
data_Tb3YTm2Se6
_space_group_name_H-M_alt 'C 1 2/m 1'
_space_group_IT_number 12
_cell_length_a 7.0024
_cell_length_b 12.2087
_cell_length_c 7.0753
_cell_angle_alpha 90.00
_cell_angle_beta 109.37
_cell_angle_gamma 90.00
loop_
_space_group_symop_operation_xyz
'x,y,z'
'-x,-y,-z'
'-x,y,-z'
'x,-y,z'
'x+1/2,y+1/2,z'
'-x+1/2,-y+1/2,-z'
'-x+1/2,y+1/2,-z'
'x+1/2,-y+1/2,z'
loop_
_atom_site_label
_atom_site_fract_x
_atom_site_fract_y
_atom_site_fract_z
Tb1 0.0000 0.0000 0.0000
Tb2 0.0000 0.3370 0.0000
Y1 0.0000 0.5000 0.5000
Tm1 0.0000 0.1660 0.5000
Se1 0.2429 0.0000 0.7428
Se2 0.2493 0.1692 0.2545

***

# Nd2Sn4Ir3Pt, relaxed, DFT PBE
# Raw total energy: -64.25 eV per cell
# V: 220.66 Å³/cell
# Density: 11.6 Mg/m³
# DFT formation energy: -0.608 eV per atom
data_Nd2Sn4Ir3Pt
_space_group_name_H-M_alt 'P -4 m 2'
_space_group_IT_number 115
_cell_length_a 4.4633
_cell_length_b 4.4633
_cell_length_c 11.0764
_cell_angle_alpha 90.00
_cell_angle_beta 90.00
_cell_angle_gamma 90.00
loop_
_space_group_symop_operation_xyz
'x,y,z'
'y,-x,-z'
'-x,-y,z'
'-y,x,-z'
'-x,y,z'
'-y,-x,-z'
'x,-y,z'
'y,x,-z'
loop_
_atom_site_label
_atom_site_fract_x
_atom_site_fract_y
_atom_site_fract_z
Nd1 0.0000 0.5000 0.2455
Sn1 0.0000 0.0000 0.0000
Sn2 0.0000 0.5000 0.6342
Sn3 0.5000 0.5000 0.0000
Ir1 0.0000 0.5000 0.8669
Ir2 0.5000 0.5000 0.5000
Pt1 0.0000 0.0000 0.5000

***

# TcSnRh, relaxed, DFT PBE
# Raw total energy: -42.60 eV per cell
# V: 100.65 Å³/cell
# Density: 10.5 Mg/m³
# DFT formation energy: 0.140 eV per atom
data_TcSnRh
_space_group_name_H-M_alt 'P -6 m 2'
_space_group_IT_number 187
_space_group_name_Hall 'P -6 2'
_cell_length_a 3.0561
_cell_length_b 3.0561
_cell_length_c 12.4452
_cell_angle_alpha 90.00
_cell_angle_beta 90.00
_cell_angle_gamma 120.00
loop_
_atom_site_label
_atom_site_fract_x
_atom_site_fract_y
_atom_site_fract_z
Tc1 0.0000 0.0000 0.0000
Tc2 0.3333 0.6667 0.5000
Sn1 0.0000 0.0000 0.3291
Rh1 0.3333 0.6667 0.1617

***

# LaPuRe, relaxed, DFT PBE
# Raw total energy: -248.04 eV per cell
# V: 626.54 Å³/cell
# Excess energy over the best structure of this formula in the dataset: 0 meV per atom
# Density: 12.1 Mg/m³
# DFT formation energy: 0.234 eV per atom
data_LaPuRe
_space_group_name_H-M_alt 'C m c e'
_space_group_IT_number 64
_space_group_name_Hall '-C 2ac 2'
_cell_length_a 6.5070
_cell_length_b 14.2856
_cell_length_c 6.7402
_cell_angle_alpha 90.00
_cell_angle_beta 90.00
_cell_angle_gamma 90.00
loop_
_atom_site_label
_atom_site_fract_x
_atom_site_fract_y
_atom_site_fract_z
La1 0.0000 0.1864 0.0464
Pu1 0.2500 0.0118 0.7500
Re1 0.0000 0.1030 0.4853

***

# K2InAg2, relaxed, DFT PBE
# Raw total energy: -21.14 eV per cell
# V: 312.04 Å³/cell
# Excess energy over the best structure of this formula in the dataset: 50 meV per atom
# Density: 4.4 Mg/m³
# DFT formation energy: 0.013 eV per atom
data_K2InAg2
_space_group_name_H-M_alt 'P 4/m b m'
_space_group_IT_number 127
_space_group_name_Hall '-P 4 2ab'
_cell_length_a 7.5465
_cell_length_b 7.5465
_cell_length_c 5.4792
_cell_angle_alpha 90.00
_cell_angle_beta 90.00
_cell_angle_gamma 90.00
loop_
_atom_site_label
_atom_site_fract_x
_atom_site_fract_y
_atom_site_fract_z
K1 0.1754 0.3246 0.0000
In1 0.0000 0.0000 0.5000
Ag1 0.1335 0.6335 0.5000

***

# LaBe4In, relaxed, DFT PBE
# Raw total energy: -81.73 eV per cell
# V: 386.80 Å³/cell
# Density: 5.0 Mg/m³
# DFT formation energy: 0.356 eV per atom
data_LaBe4In
_space_group_name_H-M_alt 'F -4 3 m'
_space_group_IT_number 216
_space_group_name_Hall 'F -4 2 3'
_cell_length_a 7.2861
_cell_length_b 7.2861
_cell_length_c 7.2861
_cell_angle_alpha 90.00
_cell_angle_beta 90.00
_cell_angle_gamma 90.00
loop_
_atom_site_label
_atom_site_fract_x
_atom_site_fract_y
_atom_site_fract_z
La1 0.0000 0.0000 0.0000
Be1 0.1387 0.1387 0.6387
In1 0.2500 0.2500 0.2500

***

# Be6Co2B2Ru, relaxed, DFT PBE
# Raw total energy: -56.87 eV per cell
# V: 104.18 Å³/cell
# Density: 4.7 Mg/m³
# DFT formation energy: 0.212 eV per atom
data_Be6Co2B2Ru
_space_group_name_H-M_alt 'P -3 1 m'
_space_group_IT_number 162
_space_group_name_Hall '-P 3 2'
_cell_length_a 5.4966
_cell_length_b 5.4966
_cell_length_c 3.9815
_cell_angle_alpha 90.00
_cell_angle_beta 90.00
_cell_angle_gamma 120.00
loop_
_atom_site_label
_atom_site_fract_x
_atom_site_fract_y
_atom_site_fract_z
Be1 0.0000 0.3357 0.3495
Co1 0.3333 0.6667 0.0000
B1 0.3333 0.6667 0.5000
Ru1 0.0000 0.0000 0.0000

***

# K2ThScS4, relaxed, DFT PBE
# Raw formation energy: -1.706 eV/atom
# Raw total energy: -46.10 eV per cell
# V: 204.67 Å³/cell
# Density: 3.9 Mg/m³
data_K2ThScS4
_space_group_name_H-M_alt 'P 1 2/m 1'
_space_group_IT_number 10
_cell_length_a 6.8875
_cell_length_b 4.0067
_cell_length_c 7.7631
_cell_angle_alpha 90.00
_cell_angle_beta 107.18
_cell_angle_gamma 90.00
loop_
_space_group_symop_operation_xyz
'x,y,z'
'-x,-y,-z'
'-x,y,-z'
'x,-y,z'
loop_
_atom_site_label
_atom_site_fract_x
_atom_site_fract_y
_atom_site_fract_z
K1 0.0000 0.0000 0.0000
K2 0.5000 0.5000 0.0000
Th1 0.0000 0.5000 0.5000
Sc1 0.5000 0.0000 0.5000
S1 0.2512 0.0000 0.7086
S2 0.2796 0.5000 0.3024

***

# ZrSi3, relaxed, DFT PBE
# Raw formation energy: -0.159 eV/atom
# Raw total energy: -25.45 eV per cell
# V: 65.44 Å³/cell
# Density: 4.5 Mg/m³
data_ZrSi3
_space_group_name_H-M_alt 'P m m 2'
_space_group_IT_number 25
_cell_length_a 3.4884
_cell_length_b 4.1152
_cell_length_c 4.5582
_cell_angle_alpha 90.00
_cell_angle_beta 90.00
_cell_angle_gamma 90.00
loop_
_space_group_symop_operation_xyz
'x,y,z'
'-x,-y,z'
'-x,y,z'
'x,-y,z'
loop_
_atom_site_label
_atom_site_fract_x
_atom_site_fract_y
_atom_site_fract_z
Zr1 0.0000 0.0000 0.0000
Si1 0.0000 0.5000 0.5684
Si2 0.5000 0.0000 0.5232
Si3 0.5000 0.5000 0.1739

***

# K2NaZnO, relaxed, DFT PBE
# Raw formation energy: -0.501 eV/atom
# Raw total energy: -12.25 eV per cell
# V: 140.76 Å³/cell
# Density: 2.2 Mg/m³
data_K2NaZnO
_space_group_name_H-M_alt 'P 4/m m m'
_space_group_IT_number 123
_space_group_name_Hall '-P 4 2'
_cell_length_a 5.5475
_cell_length_b 5.5475
_cell_length_c 4.5737
_cell_angle_alpha 90.00
_cell_angle_beta 90.00
_cell_angle_gamma 90.00
loop_
_atom_site_label
_atom_site_fract_x
_atom_site_fract_y
_atom_site_fract_z
K1 0.0000 0.5000 0.0000
Na1 0.0000 0.0000 0.5000
Zn1 0.5000 0.5000 0.5000
O1 0.0000 0.0000 0.0000

***

# ZnCd2Si, relaxed, DFT PBE
# Raw formation energy: 0.291 eV/atom
# Raw total energy: -14.73 eV per cell
# V: 155.43 Å³/cell
# Excess energy over the best structure of this formula in the dataset: 68 meV per atom
# Density: 6.8 Mg/m³
data_ZnCd2Si
_space_group_name_H-M_alt 'I 4/m m m'
_space_group_IT_number 139
_space_group_name_Hall '-I 4 2'
_cell_length_a 4.2881
_cell_length_b 4.2881
_cell_length_c 8.4529
_cell_angle_alpha 90.00
_cell_angle_beta 90.00
_cell_angle_gamma 90.00
loop_
_atom_site_label
_atom_site_fract_x
_atom_site_fract_y
_atom_site_fract_z
Zn1 0.0000 0.0000 0.0000
Cd1 0.0000 0.5000 0.2500
Si1 0.0000 0.0000 0.5000

***

# BaPSe2, relaxed, DFT PBE
# Raw formation energy: -0.591 eV/atom
# Raw total energy: -66.67 eV per cell
# V: 558.13 Å³/cell
# Excess energy over the best structure of this formula in the dataset: 318 meV per atom
# Density: 3.9 Mg/m³
data_BaPSe2
_space_group_name_H-M_alt 'I -4 2 d'
_space_group_IT_number 122
_space_group_name_Hall 'I -4 2bw'
_cell_length_a 6.1640
_cell_length_b 6.1640
_cell_length_c 14.6897
_cell_angle_alpha 90.00
_cell_angle_beta 90.00
_cell_angle_gamma 90.00
loop_
_atom_site_label
_atom_site_fract_x
_atom_site_fract_y
_atom_site_fract_z
Ba1 0.0000 0.0000 0.0000
P1 0.0000 0.0000 0.5000
Se1 0.1501 0.2500 0.6250